Here is an optimized crystal structure of La2SmY6Er3 from Alexandria. Energies are from PBE-GGA. Values from VASP.

Results
ΔH_f (0 K) (eV/atom): 0.024

```
&SYSTEM
  ibrav = 0, nat = 12, ntyp = 4
/
ATOMIC_SPECIES
La 138.91 La.upf
Sm 150.36 Sm.upf
Y 88.91 Y.upf
Er 167.26 Er.upf
CELL_PARAMETERS angstrom
3.1126 -5.3900 0.0000
3.1126 5.3900 0.0000
-2.0728 0.0000 11.6845
ATOMIC_POSITIONS crystal
La 0.1667 0.8333 0.0000
La 0.8333 0.1667 0.0000
Sm 0.5000 0.5000 0.0000
Y 0.0819 0.4146 0.7445
Y 0.2529 0.2529 0.2555
Y 0.4146 0.0819 0.7445
Y 0.5854 0.9181 0.2555
Y 0.7471 0.7471 0.7445
Y 0.9181 0.5854 0.2555
Er 0.0000 0.0000 0.5000
Er 0.3335 0.6665 0.5000
Er 0.6665 0.3335 0.5000
```

Here is an optimized crystal structure of K2CaOs from Alexandria. Energies are from PBE-GGA. Values from VASP.

Results
Polymorph energy (0 for the lowest one) (eV per formula unit): 0.239
ΔH_f (0 K) (eV/atom): 0.823

```
&SYSTEM
  ibrav = 0, nat = 4, ntyp = 3
/
ATOMIC_SPECIES
K 39.10 K.upf
Ca 40.08 Ca.upf
Os 190.23 Os.upf
CELL_PARAMETERS angstrom
3.5619 0.0000 0.0000
0.0000 3.5619 0.0000
0.0000 0.0000 11.6325
ATOMIC_POSITIONS crystal
K 0.0000 0.0000 0.0000
K 0.5000 0.5000 0.3640
Ca 0.5000 0.5000 0.6857
Os 0.0000 0.0000 0.5570
```

Here is an optimized crystal structure of BaCr2Mo from Alexandria. Energies are from PBE-GGA. Values from VASP.

Results
Polymorph energy (0 for the lowest one) (eV per formula unit): 2.407
ΔH_f (0 K) (eV/atom): 1.371

```
&SYSTEM
  ibrav = 0, nat = 4, ntyp = 3
/
ATOMIC_SPECIES
Ba 137.33 Ba.upf
Cr 52.00 Cr.upf
Mo 95.94 Mo.upf
CELL_PARAMETERS angstrom
3.3161 0.0000 0.0000
0.0000 4.7376 0.0000
0.0000 0.0000 5.0724
ATOMIC_POSITIONS crystal
Ba 0.0000 0.0000 0.0000
Cr 0.0000 0.5000 0.5000
Cr 0.5000 0.0000 0.5000
Mo 0.5000 0.5000 0.0000
```

Here is an optimized crystal structure of K2Rb4I from Alexandria. Energies are from PBE-GGA. Values from VASP.

Results
Formation energy (no corrections) (eV/atom): -0.32

```
&SYSTEM
  ibrav = 0, nat = 7, ntyp = 3
/
ATOMIC_SPECIES
K 39.10 K.upf
Rb 85.47 Rb.upf
I 126.90 I.upf
CELL_PARAMETERS angstrom
-3.5645 3.5645 11.7775
3.5645 -3.5645 11.7775
3.5645 3.5645 -11.7775
ATOMIC_POSITIONS crystal
K 0.1482 0.1482 0.0000
K 0.8518 0.8518 0.0000
Rb 0.0000 0.5000 0.5000
Rb 0.3378 0.3378 0.0000
Rb 0.5000 0.0000 0.5000
Rb 0.6622 0.6622 0.0000
I 0.5000 0.5000 0.0000
```

Here is an optimized crystal structure of TlSiBiIr2 from Alexandria. Energies are from PBE-GGA. Values from VASP.

Results
Formation energy (no corrections) (eV/atom): 1.63

```
&SYSTEM
  ibrav = 0, nat = 5, ntyp = 4
/
ATOMIC_SPECIES
Tl 204.38 Tl.upf
Si 28.09 Si.upf
Bi 208.98 Bi.upf
Ir 192.22 Ir.upf
CELL_PARAMETERS angstrom
5.0786 0.0000 0.0000
0.0000 5.0786 0.0000
0.0000 0.0000 5.3563
ATOMIC_POSITIONS crystal
Tl 0.0000 0.0000 0.0000
Si 0.5000 0.5000 0.0000
Bi 0.5000 0.5000 0.5000
Ir 0.0000 0.5000 0.5000
Ir 0.5000 0.0000 0.5000
```

Here is an optimized crystal structure of Rb4Pu6Br19 from Alexandria. Energies are from PBE-GGA. Values from VASP.

Results
Formation energy (no corrections) (eV/atom): -1.61

```
&SYSTEM
  ibrav = 0, nat = 29, ntyp = 3
/
ATOMIC_SPECIES
Rb 85.47 Rb.upf
Pu 244.00 Pu.upf
Br 79.90 Br.upf
CELL_PARAMETERS angstrom
-6.5563 6.5563 6.5563
6.5563 -6.5563 6.5563
6.5563 6.5563 -6.5563
ATOMIC_POSITIONS crystal
Rb 0.0000 0.0000 0.3022
Rb 0.0000 0.3022 0.0000
Rb 0.3022 0.0000 0.0000
Rb 0.6978 0.6978 0.6978
Pu 0.1678 0.5000 0.6678
Pu 0.3322 0.8322 0.5000
Pu 0.5000 0.3322 0.8322
Pu 0.5000 0.6678 0.1678
Pu 0.6678 0.1678 0.5000
Pu 0.8322 0.5000 0.3322
Br 0.0000 0.0000 0.0000
Br 0.0000 0.3523 0.3523
Br 0.0000 0.6477 0.6477
Br 0.0299 0.6668 0.2620
Br 0.2321 0.6369 0.9701
Br 0.2620 0.0299 0.6668
Br 0.3332 0.3631 0.5951
Br 0.3523 0.0000 0.3523
Br 0.3523 0.3523 0.0000
Br 0.3631 0.5951 0.3332
Br 0.4049 0.7679 0.7380
Br 0.5951 0.3332 0.3631
Br 0.6369 0.9701 0.2321
Br 0.6477 0.0000 0.6477
Br 0.6477 0.6477 0.0000
Br 0.6668 0.2620 0.0299
Br 0.7380 0.4049 0.7679
Br 0.7679 0.7380 0.4049
Br 0.9701 0.2321 0.6369
```

Here is an optimized crystal structure of Zr3ZnCo from Alexandria. Energies are from PBE-GGA. Values from VASP.

Results
Polymorph energy (0 for the lowest one) (eV per formula unit): 0.000
ΔH_f (0 K) (eV/atom): -0.185

```
&SYSTEM
  ibrav = 0, nat = 10, ntyp = 3
/
ATOMIC_SPECIES
Zr 91.22 Zr.upf
Zn 65.41 Zn.upf
Co 58.93 Co.upf
CELL_PARAMETERS angstrom
4.5670 -3.0145 0.0000
4.5670 3.0145 0.0000
-3.4211 0.0000 7.0132
ATOMIC_POSITIONS crystal
Zr 0.0229 0.0229 0.2345
Zr 0.2959 0.2959 0.6802
Zr 0.3061 0.3061 0.1190
Zr 0.6939 0.6939 0.8810
Zr 0.7041 0.7041 0.3198
Zr 0.9771 0.9771 0.7655
Zn 0.2951 0.7049 0.5000
Zn 0.7049 0.2951 0.5000
Co 0.2960 0.7040 0.0000
Co 0.7040 0.2960 0.0000
```

Here is an optimized crystal structure of TiTe2WN from Alexandria. Energies are from PBE-GGA. Values from VASP.

Results
Formation energy (no corrections) (eV/atom): 0.36
Polymorph energy (0 for the lowest one) (eV per formula unit): 0.000

```
&SYSTEM
  ibrav = 0, nat = 5, ntyp = 4
/
ATOMIC_SPECIES
Ti 47.87 Ti.upf
Te 127.60 Te.upf
W 183.84 W.upf
N 14.01 N.upf
CELL_PARAMETERS angstrom
5.4639 0.0000 0.0000
0.0000 5.4639 0.0000
0.0000 0.0000 3.7991
ATOMIC_POSITIONS crystal
Ti 0.0000 0.0000 0.0000
Te 0.0000 0.5000 0.5000
Te 0.5000 0.0000 0.5000
W 0.5000 0.5000 0.5000
N 0.5000 0.5000 0.0000
```

Here is an optimized crystal structure of PbBr2 from Alexandria. Energies are from PBE-GGA. Values from VASP.

Results
Formation energy (no corrections) (eV/atom): -0.75

```
&SYSTEM
  ibrav = 0, nat = 3, ntyp = 2
/
ATOMIC_SPECIES
Pb 207.20 Pb.upf
Br 79.90 Br.upf
CELL_PARAMETERS angstrom
5.1202 0.0000 0.0000
0.0000 5.1202 0.0000
0.0000 0.0000 3.8824
ATOMIC_POSITIONS crystal
Pb 0.0000 0.0000 0.0000
Br 0.0000 0.5000 0.5000
Br 0.5000 0.0000 0.5000
```

Here is an optimized crystal structure of KTeC3 from Alexandria. Energies are from PBE-GGA. Values from VASP.

Results
Formation energy (no corrections) (eV/atom): 4.02
Polymorph energy (0 for the lowest one) (eV per formula unit): 6.939

```
&SYSTEM
  ibrav = 0, nat = 5, ntyp = 3
/
ATOMIC_SPECIES
K 39.10 K.upf
Te 127.60 Te.upf
C 12.01 C.upf
CELL_PARAMETERS angstrom
5.0282 0.0000 0.0000
0.0000 5.0282 0.0000
0.0000 0.0000 5.0282
ATOMIC_POSITIONS crystal
K 0.0000 0.0000 0.0000
Te 0.5000 0.5000 0.5000
C 0.0000 0.0000 0.5000
C 0.0000 0.5000 0.0000
C 0.5000 0.0000 0.0000
```

Here is an optimized crystal structure of HfZr3P4 from Alexandria. Energies are from PBE-GGA. Values from VASP.

Results
Polymorph energy (0 for the lowest one) (eV per formula unit): 0.027
ΔH_f (0 K) (eV/atom): -1.311

```
&SYSTEM
  ibrav = 0, nat = 8, ntyp = 3
/
ATOMIC_SPECIES
Hf 178.49 Hf.upf
Zr 91.22 Zr.upf
P 30.97 P.upf
CELL_PARAMETERS angstrom
5.2796 0.0000 0.0000
0.0000 5.2796 0.0000
0.0000 0.0000 5.2796
ATOMIC_POSITIONS crystal
Hf 0.0000 0.0000 0.0000
Zr 0.0000 0.5000 0.5000
Zr 0.5000 0.0000 0.5000
Zr 0.5000 0.5000 0.0000
P 0.0000 0.0000 0.5000
P 0.0000 0.5000 0.0000
P 0.5000 0.0000 0.0000
P 0.5000 0.5000 0.5000
```

Here is an optimized crystal structure of ScSb2P from Alexandria. Energies are from PBE-GGA. Values from VASP.

Results
Formation energy (no corrections) (eV/atom): -0.35

```
&SYSTEM
  ibrav = 0, nat = 4, ntyp = 3
/
ATOMIC_SPECIES
Sc 44.96 Sc.upf
Sb 121.76 Sb.upf
P 30.97 P.upf
CELL_PARAMETERS angstrom
3.5182 0.0000 0.0000
0.0000 3.5182 0.0000
0.0000 0.0000 7.3861
ATOMIC_POSITIONS crystal
Sc 0.0000 0.0000 0.0000
Sb 0.0000 0.0000 0.4083
Sb 0.5000 0.5000 0.7349
P 0.5000 0.5000 0.1176
```

For reference, total energy by record: -5.563; -3.033; -6.629; -1.412; -4.245; -5.804; -6.990; -6.728; -3.101; -2.360; -8.465; -5.351 eV/atom.
For reference, total moment by record: 0.00; 0.94; 0.72; 0.00; 0.00; 33.00; 0.00; 2.20; 0.00; 5.00; 0.00; 0.00 μB/f.u..